1.
# PBE DyTlPb2Br8, optimized geometry
data_DyTlPb2Br8
_chemical_formula_sum 'Dy1 Tl1 Pb2 Br8'
_space_group_name_H-M_alt 'P 1'
_space_group_IT_number 1
_cell_length_a 7.250
_cell_length_b 6.883
_cell_length_c 9.247
_cell_angle_alpha 89.98
_cell_angle_beta 90.00
_cell_angle_gamma 89.09
loop_
_space_group_symop_operation_xyz
'x,y,z'
loop_
_atom_site_label
_atom_site_type_symbol
_atom_site_fract_x
_atom_site_fract_y
_atom_site_fract_z
_atom_site_occupancy
Dy1 Dy 0.000 0.000 0.000 1
Tl1 Tl 0.000 0.000 0.500 1
Pb1 Pb 0.500 0.500 0.750 1
Pb2 Pb 0.500 0.500 0.250 1
Br1 Br 0.155 0.762 0.216 1
Br2 Br 0.681 0.762 0.000 1
Br3 Br 0.845 0.238 0.216 1
Br4 Br 0.845 0.238 0.784 1
Br5 Br 0.319 0.238 0.000 1
Br6 Br 0.155 0.762 0.784 1
Br7 Br 0.633 0.731 0.500 1
Br8 Br 0.367 0.269 0.500 1
# Magnetization: 0.0000 μB/atom
# E: -3.521 eV per atom
# DOS at the Fermi energy: 0.00 states/eV/atom

2.
# PBE Dy4PdBr5, optimized geometry
data_Dy4PdBr5
_chemical_formula_sum 'Dy4 Pd1 Br5'
_space_group_name_H-M_alt 'P 1'
_space_group_IT_number 1
_cell_length_a 4.005
_cell_length_b 8.546
_cell_length_c 9.605
_cell_angle_alpha 101.72
_cell_angle_beta 102.03
_cell_angle_gamma 90.00
loop_
_space_group_symop_operation_xyz
'x,y,z'
loop_
_atom_site_label
_atom_site_type_symbol
_atom_site_fract_x
_atom_site_fract_y
_atom_site_fract_z
_atom_site_occupancy
Dy1 Dy 0.649 0.076 0.299 1
Dy2 Dy 0.003 0.219 0.006 1
Dy3 Dy 0.351 0.924 0.701 1
Dy4 Dy 0.997 0.781 0.994 1
Pd1 Pd 0.500 0.000 0.000 1
Br1 Br 0.168 0.330 0.337 1
Br2 Br 0.180 0.843 0.361 1
Br3 Br 0.820 0.157 0.639 1
Br4 Br 0.500 0.500 0.000 1
Br5 Br 0.832 0.670 0.663 1
# Magnetization: 0.0000 μB/atom
# E: -4.586 eV per atom
# DOS at the Fermi energy: 0.48 states/eV/atom

3.
# PBE DyPdBr, optimized geometry
data_DyPdBr
_chemical_formula_sum 'Dy4 Pd4 Br4'
_space_group_name_H-M_alt 'P 1'
_space_group_IT_number 1
_cell_length_a 3.987
_cell_length_b 7.665
_cell_length_c 11.693
_cell_angle_alpha 94.54
_cell_angle_beta 99.82
_cell_angle_gamma 90.00
loop_
_space_group_symop_operation_xyz
'x,y,z'
loop_
_atom_site_label
_atom_site_type_symbol
_atom_site_fract_x
_atom_site_fract_y
_atom_site_fract_z
_atom_site_occupancy
Br1 Br 0.092 0.338 0.185 1
Br2 Br 0.428 0.163 0.856 1
Br3 Br 0.572 0.837 0.144 1
Br4 Br 0.908 0.662 0.815 1
Pd1 Pd 0.245 0.623 0.489 1
Pd2 Pd 0.750 0.875 0.500 1
Pd3 Pd 0.755 0.377 0.511 1
Pd4 Pd 0.250 0.125 0.500 1
Dy1 Dy 0.341 0.402 0.681 1
Dy2 Dy 0.663 0.112 0.326 1
Dy3 Dy 0.659 0.598 0.319 1
Dy4 Dy 0.337 0.888 0.674 1
# Magnetization: 0.0000 μB/atom
# E: -4.945 eV per atom
# DOS at the Fermi energy: 0.44 states/eV/atom

4.
# PBE DyPdBr6, optimized geometry
data_DyPdBr6
_chemical_formula_sum 'Dy1 Pd1 Br6'
_space_group_name_H-M_alt 'P 1'
_space_group_IT_number 1
_cell_length_a 6.732
_cell_length_b 6.990
_cell_length_c 7.169
_cell_angle_alpha 63.50
_cell_angle_beta 62.02
_cell_angle_gamma 57.90
loop_
_space_group_symop_operation_xyz
'x,y,z'
loop_
_atom_site_label
_atom_site_type_symbol
_atom_site_fract_x
_atom_site_fract_y
_atom_site_fract_z
_atom_site_occupancy
Dy1 Dy 0.500 0.500 0.500 1
Pd1 Pd 0.000 0.000 0.000 1
Br1 Br 0.086 0.405 0.750 1
Br2 Br 0.769 0.075 0.764 1
Br3 Br 0.597 0.226 0.245 1
Br4 Br 0.231 0.925 0.236 1
Br5 Br 0.914 0.595 0.250 1
Br6 Br 0.403 0.774 0.755 1
# Magnetization: 0.1203 μB/atom
# E: -3.402 eV per atom
# DOS at the Fermi energy: 0.23 states/eV/atom

5.
# PBE Dy7PdBr12, optimized geometry
data_Dy7PdBr12
_chemical_formula_sum 'Dy7 Pd1 Br12'
_space_group_name_H-M_alt 'P 1'
_space_group_IT_number 1
_cell_length_a 9.235
_cell_length_b 9.235
_cell_length_c 9.235
_cell_angle_alpha 107.53
_cell_angle_beta 107.53
_cell_angle_gamma 107.53
loop_
_space_group_symop_operation_xyz
'x,y,z'
loop_
_atom_site_label
_atom_site_type_symbol
_atom_site_fract_x
_atom_site_fract_y
_atom_site_fract_z
_atom_site_occupancy
Dy1 Dy 0.968 0.681 0.891 1
Dy2 Dy 0.319 0.109 0.032 1
Dy3 Dy 0.109 0.032 0.319 1
Dy4 Dy 0.500 0.500 0.500 1
Dy5 Dy 0.891 0.968 0.681 1
Dy6 Dy 0.681 0.891 0.968 1
Dy7 Dy 0.032 0.319 0.109 1
Pd1 Pd 0.000 0.000 0.000 1
Br1 Br 0.926 0.320 0.780 1
Br2 Br 0.680 0.220 0.074 1
Br3 Br 0.472 0.164 0.391 1
Br4 Br 0.836 0.609 0.528 1
Br5 Br 0.220 0.074 0.680 1
Br6 Br 0.609 0.528 0.836 1
Br7 Br 0.391 0.472 0.164 1
Br8 Br 0.780 0.926 0.320 1
Br9 Br 0.164 0.391 0.472 1
Br10 Br 0.528 0.836 0.609 1
Br11 Br 0.320 0.780 0.926 1
Br12 Br 0.074 0.680 0.220 1
# Magnetization: 0.0398 μB/atom
# E: -4.434 eV per atom
# DOS at the Fermi energy: 0.23 states/eV/atom

6.
# PBE Dy3PdBr3, optimized geometry
data_Dy3PdBr3
_chemical_formula_sum 'Dy12 Pd4 Br12'
_space_group_name_H-M_alt 'P 1'
_space_group_IT_number 1
_cell_length_a 10.178
_cell_length_b 10.178
_cell_length_c 10.178
_cell_angle_alpha 109.47
_cell_angle_beta 109.47
_cell_angle_gamma 109.47
loop_
_space_group_symop_operation_xyz
'x,y,z'
loop_
_atom_site_label
_atom_site_type_symbol
_atom_site_fract_x
_atom_site_fract_y
_atom_site_fract_z
_atom_site_occupancy
Dy1 Dy 0.970 0.485 0.235 1
Dy2 Dy 0.515 0.030 0.265 1
Dy3 Dy 0.250 0.015 0.485 1
Dy4 Dy 0.985 0.750 0.015 1
Dy5 Dy 0.985 0.235 0.470 1
Dy6 Dy 0.765 0.015 0.030 1
Dy7 Dy 0.735 0.470 0.485 1
Dy8 Dy 0.765 0.750 0.235 1
Dy9 Dy 0.530 0.265 0.015 1
Dy10 Dy 0.250 0.235 0.265 1
Dy11 Dy 0.735 0.265 0.750 1
Dy12 Dy 0.515 0.485 0.750 1
Pd1 Pd 0.750 0.500 0.000 1
Pd2 Pd 0.500 0.250 0.500 1
Pd3 Pd 0.750 0.250 0.250 1
Pd4 Pd 0.000 0.000 0.250 1
Br1 Br 0.244 0.994 0.987 1
Br2 Br 0.750 0.756 0.744 1
Br3 Br 0.487 0.744 0.994 1
Br4 Br 0.006 0.250 0.994 1
Br5 Br 0.256 0.744 0.250 1
Br6 Br 0.494 0.506 0.250 1
Br7 Br 0.244 0.250 0.756 1
Br8 Br 0.256 0.513 0.506 1
Br9 Br 0.750 0.994 0.506 1
Br10 Br 0.013 0.506 0.756 1
Br11 Br 0.006 0.756 0.513 1
Br12 Br 0.494 0.987 0.744 1
# Magnetization: 0.0000 μB/atom
# E: -4.725 eV per atom
# DOS at the Fermi energy: 0.41 states/eV/atom

7.
# PBE PmDyBr3, optimized geometry
data_PmDyBr3
_chemical_formula_sum 'Pm2 Dy2 Br6'
_space_group_name_H-M_alt 'P 1'
_space_group_IT_number 1
_cell_length_a 6.630
_cell_length_b 6.609
_cell_length_c 8.822
_cell_angle_alpha 67.90
_cell_angle_beta 67.86
_cell_angle_gamma 59.87
loop_
_space_group_symop_operation_xyz
'x,y,z'
loop_
_atom_site_label
_atom_site_type_symbol
_atom_site_fract_x
_atom_site_fract_y
_atom_site_fract_z
_atom_site_occupancy
Pm1 Pm 0.832 0.831 0.506 1
Pm2 Pm 0.168 0.169 0.494 1
Dy1 Dy 0.332 0.330 0.005 1
Dy2 Dy 0.668 0.670 0.995 1
Br1 Br 0.745 0.412 0.763 1
Br2 Br 0.081 0.745 0.761 1
Br3 Br 0.411 0.082 0.761 1
Br4 Br 0.255 0.588 0.237 1
Br5 Br 0.919 0.255 0.239 1
Br6 Br 0.589 0.918 0.239 1
# Magnetization: 0.2783 μB/atom
# Excess energy over the best structure of this formula in the dataset: 1.38 eV per formula unit
# E: -4.111 eV per atom
# DOS at the Fermi energy: 0.78 states/eV/atom

8.
# PBE PmDyBr2, optimized geometry
data_PmDyBr2
_chemical_formula_sum 'Pm1 Dy1 Br2'
_space_group_name_H-M_alt 'P 1'
_space_group_IT_number 1
_cell_length_a 3.667
_cell_length_b 3.667
_cell_length_c 10.396
_cell_angle_alpha 79.84
_cell_angle_beta 79.84
_cell_angle_gamma 60.00
loop_
_space_group_symop_operation_xyz
'x,y,z'
loop_
_atom_site_label
_atom_site_type_symbol
_atom_site_fract_x
_atom_site_fract_y
_atom_site_fract_z
_atom_site_occupancy
Pm1 Pm 0.000 0.000 0.000 1
Br1 Br 0.099 0.099 0.704 1
Br2 Br 0.901 0.901 0.296 1
Dy1 Dy 0.500 0.500 0.500 1
# Magnetization: 0.0995 μB/atom
# E: -4.169 eV per atom
# DOS at the Fermi energy: 0.90 states/eV/atom

9.
# PBE Pm2DyBr, optimized geometry
data_Pm2DyBr
_chemical_formula_sum 'Pm2 Dy1 Br1'
_space_group_name_H-M_alt 'P 1'
_space_group_IT_number 1
_cell_length_a 3.693
_cell_length_b 3.693
_cell_length_c 10.726
_cell_angle_alpha 80.09
_cell_angle_beta 80.09
_cell_angle_gamma 60.00
loop_
_space_group_symop_operation_xyz
'x,y,z'
loop_
_atom_site_label
_atom_site_type_symbol
_atom_site_fract_x
_atom_site_fract_y
_atom_site_fract_z
_atom_site_occupancy
Pm1 Pm 0.743 0.743 0.772 1
Pm2 Pm 0.257 0.257 0.228 1
Br1 Br 0.000 0.000 0.000 1
Dy1 Dy 0.500 0.500 0.500 1
# Magnetization: 0.0000 μB/atom
# Excess energy over the best structure of this formula in the dataset: 0.00 eV per formula unit
# E: -4.489 eV per atom
# DOS at the Fermi energy: 1.01 states/eV/atom

10.
# PBE PmDyBr3, optimized geometry
data_PmDyBr3
_chemical_formula_sum 'Pm2 Dy2 Br6'
_space_group_name_H-M_alt 'P 1'
_space_group_IT_number 1
_cell_length_a 3.952
_cell_length_b 9.407
_cell_length_c 10.170
_cell_angle_alpha 72.44
_cell_angle_beta 78.79
_cell_angle_gamma 77.87
loop_
_space_group_symop_operation_xyz
'x,y,z'
loop_
_atom_site_label
_atom_site_type_symbol
_atom_site_fract_x
_atom_site_fract_y
_atom_site_fract_z
_atom_site_occupancy
Pm1 Pm 0.138 0.010 0.714 1
Pm2 Pm 0.862 0.990 0.286 1
Dy1 Dy 0.428 0.186 0.958 1
Dy2 Dy 0.572 0.814 0.042 1
Br1 Br 0.665 0.178 0.492 1
Br2 Br 0.335 0.822 0.508 1
Br3 Br 0.212 0.693 0.883 1
Br4 Br 0.788 0.307 0.117 1
Br5 Br 0.965 0.322 0.748 1
Br6 Br 0.035 0.678 0.252 1
# Magnetization: 0.0000 μB/atom
# Excess energy over the best structure of this formula in the dataset: 0.00 eV per formula unit
# E: -4.387 eV per atom

11.
# PBE Pm2DyBr, optimized geometry
data_Pm2DyBr
_chemical_formula_sum 'Pm2 Dy1 Br1'
_space_group_name_H-M_alt 'P 1'
_space_group_IT_number 1
_cell_length_a 3.579
_cell_length_b 3.579
_cell_length_c 9.650
_cell_angle_alpha 90.00
_cell_angle_beta 90.00
_cell_angle_gamma 90.00
loop_
_space_group_symop_operation_xyz
'x,y,z'
loop_
_atom_site_label
_atom_site_type_symbol
_atom_site_fract_x
_atom_site_fract_y
_atom_site_fract_z
_atom_site_occupancy
Pm1 Pm 0.000 0.000 0.764 1
Pm2 Pm 0.000 0.000 0.236 1
Br1 Br 0.500 0.500 0.000 1
Dy1 Dy 0.500 0.500 0.500 1
# Magnetization: 0.0000 μB/atom
# Excess energy over the best structure of this formula in the dataset: 0.33 eV per formula unit
# E: -4.408 eV per atom
# DOS at the Fermi energy: 0.86 states/eV/atom

12.
# PBE Pm2DyBr5, optimized geometry
data_Pm2DyBr5
_chemical_formula_sum 'Pm8 Dy4 Br20'
_space_group_name_H-M_alt 'P 1'
_space_group_IT_number 1
_cell_length_a 7.084
_cell_length_b 13.037
_cell_length_c 12.818
_cell_angle_alpha 90.00
_cell_angle_beta 90.00
_cell_angle_gamma 90.00
loop_
_space_group_symop_operation_xyz
'x,y,z'
loop_
_atom_site_label
_atom_site_type_symbol
_atom_site_fract_x
_atom_site_fract_y
_atom_site_fract_z
_atom_site_occupancy
Pm1 Pm 0.247 0.000 0.000 1
Pm2 Pm 0.753 0.000 0.000 1
Pm3 Pm 0.000 0.098 0.603 1
Pm4 Pm 0.500 0.402 0.103 1
Pm5 Pm 0.253 0.500 0.500 1
Pm6 Pm 0.747 0.500 0.500 1
Pm7 Pm 0.500 0.598 0.897 1
Pm8 Pm 0.000 0.902 0.397 1
Dy1 Dy 0.000 0.303 0.211 1
Dy2 Dy 0.500 0.197 0.711 1
Dy3 Dy 0.500 0.803 0.289 1
Dy4 Dy 0.000 0.697 0.789 1
Br1 Br 0.000 0.096 0.837 1
Br2 Br 0.500 0.009 0.811 1
Br3 Br 0.000 0.133 0.357 1
Br4 Br 0.253 0.220 0.066 1
Br5 Br 0.747 0.220 0.066 1
Br6 Br 0.247 0.280 0.566 1
Br7 Br 0.753 0.280 0.566 1
Br8 Br 0.500 0.367 0.857 1
Br9 Br 0.000 0.491 0.311 1
Br10 Br 0.500 0.404 0.337 1
Br11 Br 0.500 0.596 0.663 1
Br12 Br 0.000 0.509 0.689 1
Br13 Br 0.500 0.633 0.143 1
Br14 Br 0.247 0.720 0.434 1
Br15 Br 0.753 0.720 0.434 1
Br16 Br 0.253 0.780 0.934 1
Br17 Br 0.747 0.780 0.934 1
Br18 Br 0.000 0.867 0.643 1
Br19 Br 0.500 0.991 0.189 1
Br20 Br 0.000 0.904 0.163 1
# Magnetization: 0.2585 μB/atom
# E: -4.056 eV per atom
# DOS at the Fermi energy: 0.63 states/eV/atom